A plane-wave DFT calculation with GGA-PBE was carried out for an optimized crystal structure of SmYAl.

Computed properties:
Energy, eV per atom: -5.23
Space group: P6_3/mmc
Distance to the lowest polymorph of the same formula, eV per atom: 0.000

a b c (Å): 5.330 5.332 6.657
angles (deg): 90.00 90.00 119.99
Atoms (fractional coordinates):
Al1 0.333 0.667 0.250
Al2 0.667 0.333 0.750
Y1 0.333 0.666 0.750
Y2 0.667 0.334 0.250
Sm1 0.000 0.000 0.500
Sm2 0.000 0.000 0.000